[1]
VASP calculation (PBE-GGA) on MnTcC2I after structural relaxation.

Values from the calculation:
E above lowest polymorph (eV/atom): 0.000
Energy (eV/atom): -6.540
Formation energy without anion corrections (eV/atom): 1.37

a = 3.985 Å, b = 5.603 Å, c = 3.985 Å
α = 90.00°, β = 90.00°, γ = 90.00°
Site moments in Bohr magnetons follow the coordinates.
Sites, in units of the cell vectors:
Tc  0.000  0.000  0.000  0.00
C  0.000  0.000  0.500  0.03
C  0.500  0.000  0.000  0.00
I  0.500  0.500  0.500  -0.03
Mn  0.000  0.500  0.000  -4.02



[2]
VASP calculation (PBE-GGA) on DyCrFe2 after structural relaxation.

Values from the calculation:
Calculated formation energy (eV per atom): 0.61
Energy (eV/atom): -7.176

a = 2.978 Å, b = 2.978 Å, c = 8.284 Å
α = 79.64°, β = 79.64°, γ = 60.00°
Site moments in Bohr magnetons follow the coordinates.
Sites, in units of the cell vectors:
Fe  0.265  0.265  0.204  1.87
Fe  0.735  0.735  0.796  1.87
Dy  0.500  0.500  0.500  -0.15
Cr  0.000  0.000  0.000  -1.15